Entry 1:
# Rb3Dy2ScSe6 (PBE-GGA, optimized geometry)
data_Rb3Dy2ScSe6
_cell_length_a 7.236
_cell_length_b 12.532
_cell_length_c 8.329
_cell_angle_alpha 90.00
_cell_angle_beta 106.85
_cell_angle_gamma 90.00
_symmetry_space_group_name_H-M 'C 1 2/m 1'
_symmetry_Int_Tables_number 12
loop_
_symmetry_equiv_pos_as_xyz
'x,y,z'
'-x,-y,-z'
'-x,y,-z'
'x,-y,z'
'x+1/2,y+1/2,z'
'-x+1/2,-y+1/2,-z'
'-x+1/2,y+1/2,-z'
'x+1/2,-y+1/2,z'
loop_
_atom_site_label
_atom_site_fract_x
_atom_site_fract_y
_atom_site_fract_z
Rb1 0.000 0.000 0.000
Rb2 0.000 0.331 0.000
Dy1 0.000 0.166 0.500
Sc1 0.000 0.500 0.500
Se1 0.225 0.339 0.692
Se2 0.242 0.000 0.693
# Formation energy (no corrections), eV per atom: -1.68
# Volume, Å³/f.u.: 361
# Crystal system: monoclinic

***

Entry 2:
# HfZrNb (PBE-GGA, optimized geometry)
data_HfZrNb
_cell_length_a 3.469
_cell_length_b 3.469
_cell_length_c 10.483
_cell_angle_alpha 90.00
_cell_angle_beta 90.00
_cell_angle_gamma 90.00
_symmetry_space_group_name_H-M 'I 4 m m'
_symmetry_Int_Tables_number 107
_symmetry_space_group_name_Hall 'I 4 -2'
loop_
_atom_site_label
_atom_site_fract_x
_atom_site_fract_y
_atom_site_fract_z
Hf1 0.000 0.000 0.000
Zr1 0.000 0.000 0.310
Nb1 0.000 0.000 0.655
# Offset from the most stable computed form, meV per atom: 0.0
# Volume, Å³/f.u.: 63
# E_form, eV per formula unit: 0.2
# Crystal system: tetragonal

***

Entry 3:
# AcBiAs (PBE-GGA, optimized geometry)
data_AcBiAs
_cell_length_a 4.366
_cell_length_b 4.366
_cell_length_c 11.122
_cell_angle_alpha 90.00
_cell_angle_beta 90.00
_cell_angle_gamma 90.00
_symmetry_space_group_name_H-M 'I 4 m m'
_symmetry_Int_Tables_number 107
_symmetry_space_group_name_Hall 'I 4 -2'
loop_
_atom_site_label
_atom_site_fract_x
_atom_site_fract_y
_atom_site_fract_z
Ac1 0.000 0.000 0.000
Bi1 0.000 0.000 0.322
As1 0.000 0.000 0.571
# Offset from the most stable computed form, meV per atom: 60.8
# Volume, Å³/f.u.: 106
# E_form, eV per formula unit: -2.0
# Crystal system: tetragonal

***

Entry 4:
# LaZnTc2Os (PBE-GGA, optimized geometry)
data_LaZnTc2Os
_cell_length_a 4.545
_cell_length_b 4.545
_cell_length_c 5.162
_cell_angle_alpha 90.00
_cell_angle_beta 90.00
_cell_angle_gamma 90.00
_symmetry_space_group_name_H-M 'P 4/m m m'
_symmetry_Int_Tables_number 123
_symmetry_space_group_name_Hall '-P 4 2'
loop_
_atom_site_label
_atom_site_fract_x
_atom_site_fract_y
_atom_site_fract_z
La1 0.000 0.000 0.000
Zn1 0.000 0.000 0.500
Tc1 0.000 0.500 0.500
Os1 0.500 0.500 0.000
# Volume, Å³/f.u.: 107
# E_form, eV per formula unit: 8.4
# Crystal system: tetragonal

***

Entry 5:
# BSbTe2N (PBE-GGA, optimized geometry)
data_BSbTe2N
_cell_length_a 5.893
_cell_length_b 5.893
_cell_length_c 3.856
_cell_angle_alpha 90.00
_cell_angle_beta 90.00
_cell_angle_gamma 90.00
_symmetry_space_group_name_H-M 'P 4/m m m'
_symmetry_Int_Tables_number 123
_symmetry_space_group_name_Hall '-P 4 2'
loop_
_atom_site_label
_atom_site_fract_x
_atom_site_fract_y
_atom_site_fract_z
B1 0.000 0.000 0.000
Sb1 0.500 0.500 0.500
Te1 0.000 0.500 0.500
N1 0.500 0.500 0.000
# Formation energy (no corrections), eV per atom: 1.68
# Offset from the most stable computed form, meV per atom: 1417.5
# Volume, Å³/f.u.: 134
# Crystal system: tetragonal

***

Entry 6:
# Re2HgMo (PBE-GGA, optimized geometry)
data_Re2HgMo
_cell_length_a 5.620
_cell_length_b 7.910
_cell_length_c 2.923
_cell_angle_alpha 90.00
_cell_angle_beta 90.00
_cell_angle_gamma 90.00
_symmetry_space_group_name_H-M 'C m m m'
_symmetry_Int_Tables_number 65
_symmetry_space_group_name_Hall '-C 2 2'
loop_
_atom_site_label
_atom_site_fract_x
_atom_site_fract_y
_atom_site_fract_z
Re1 0.250 0.250 0.000
Hg1 0.000 0.000 0.500
Mo1 0.000 0.500 0.500
# Volume, Å³/f.u.: 65
# E_form, eV per formula unit: 2.8
# Crystal system: orthorhombic

***

Entry 7:
# Na2Se2N (PBE-GGA, optimized geometry)
data_Na2Se2N
_cell_length_a 6.569
_cell_length_b 6.569
_cell_length_c 4.511
_cell_angle_alpha 90.00
_cell_angle_beta 90.00
_cell_angle_gamma 90.00
_symmetry_space_group_name_H-M 'P 4/m b m'
_symmetry_Int_Tables_number 127
_symmetry_space_group_name_Hall '-P 4 2ab'
loop_
_atom_site_label
_atom_site_fract_x
_atom_site_fract_y
_atom_site_fract_z
Na1 0.156 0.344 0.000
Se1 0.169 0.669 0.500
N1 0.000 0.000 0.500
# Formation energy (no corrections), eV per atom: 0.30
# Offset from the most stable computed form, meV per atom: 168.5
# Volume, Å³/f.u.: 97
# Crystal system: tetragonal

***

Entry 8:
# Pu2TaO5 (PBE-GGA, optimized geometry)
data_Pu2TaO5
_cell_length_a 9.673
_cell_length_b 6.759
_cell_length_c 6.056
_cell_angle_alpha 90.00
_cell_angle_beta 90.00
_cell_angle_gamma 90.00
_symmetry_space_group_name_H-M 'P n m a'
_symmetry_Int_Tables_number 62
loop_
_symmetry_equiv_pos_as_xyz
'x,y,z'
'-x,-y,-z'
'-x+1/2,-y,z+1/2'
'x+1/2,y,-z+1/2'
'x+1/2,-y+1/2,-z+1/2'
'-x+1/2,y+1/2,z+1/2'
'-x,y+1/2,-z'
'x,-y+1/2,z'
loop_
_atom_site_label
_atom_site_fract_x
_atom_site_fract_y
_atom_site_fract_z
Pu1 0.169 0.003 0.056
Ta1 0.005 0.250 0.565
O1 0.007 0.250 0.914
O2 0.072 0.534 0.665
O3 0.182 0.250 0.371
O4 0.200 0.750 0.350
# Formation energy (no corrections), eV per atom: -2.82
# Volume, Å³/f.u.: 99
# Crystal system: orthorhombic

***

Entry 9:
# CsNa2AgPb (PBE-GGA, optimized geometry)
data_CsNa2AgPb
_cell_length_a 6.087
_cell_length_b 6.087
_cell_length_c 5.567
_cell_angle_alpha 90.00
_cell_angle_beta 90.00
_cell_angle_gamma 90.00
_symmetry_space_group_name_H-M 'P 4/m m m'
_symmetry_Int_Tables_number 123
_symmetry_space_group_name_Hall '-P 4 2'
loop_
_atom_site_label
_atom_site_fract_x
_atom_site_fract_y
_atom_site_fract_z
Cs1 0.000 0.000 0.000
Na1 0.000 0.500 0.500
Ag1 0.500 0.500 0.000
Pb1 0.500 0.500 0.500
# Offset from the most stable computed form, meV per atom: 0.0
# Volume, Å³/f.u.: 206
# E_form, eV per formula unit: -0.1
# Crystal system: tetragonal

***

Entry 10:
# PmPaMnSe6 (PBE-GGA, optimized geometry)
data_PmPaMnSe6
_cell_length_a 6.7771
_cell_length_b 6.7771
_cell_length_c 6.1990
_cell_angle_alpha 90.00
_cell_angle_beta 90.00
_cell_angle_gamma 120.00
_symmetry_space_group_name_H-M 'P 3 1 2'
_symmetry_Int_Tables_number 149
loop_
_symmetry_equiv_pos_as_xyz
'x,y,z'
'-y,x-y,z'
'-x+y,-x,z'
'-y,-x,-z'
'-x+y,y,-z'
'x,x-y,-z'
loop_
_atom_site_label
_atom_site_fract_x
_atom_site_fract_y
_atom_site_fract_z
Pm1 0.0000 0.0000 0.0000
Pa1 0.3333 0.6667 0.5000
Mn1 0.6667 0.3333 0.0000
Se1 0.3759 0.0233 0.7568
# Formation energy (no corrections), eV per atom: -0.95
# Volume, Å³/f.u.: 247
# Crystal system: trigonal

***

Entry 11:
# NdHfSe2O (PBE-GGA, optimized geometry)
data_NdHfSe2O
_cell_length_a 3.912
_cell_length_b 3.912
_cell_length_c 13.768
_cell_angle_alpha 90.00
_cell_angle_beta 90.00
_cell_angle_gamma 90.00
_symmetry_space_group_name_H-M 'P 4/n m m'
_symmetry_Int_Tables_number 129
loop_
_symmetry_equiv_pos_as_xyz
'x,y,z'
'-x,-y,-z'
'-y+1/2,x,z'
'y+1/2,-x,-z'
'-x+1/2,-y+1/2,z'
'x+1/2,y+1/2,-z'
'y,-x+1/2,z'
'-y,x+1/2,-z'
'x+1/2,-y,-z'
'-x+1/2,y,z'
'-y,-x,-z'
'y,x,z'
'-x,y+1/2,-z'
'x,-y+1/2,z'
'y+1/2,x+1/2,-z'
'-y+1/2,-x+1/2,z'
loop_
_atom_site_label
_atom_site_fract_x
_atom_site_fract_y
_atom_site_fract_z
Nd1 0.250 0.250 0.091
Hf1 0.250 0.250 0.597
Se1 0.250 0.250 0.394
Se2 0.250 0.250 0.783
O1 0.250 0.750 0.000
# Formation energy (no corrections), eV per atom: -2.02
# Volume, Å³/f.u.: 105
# Crystal system: tetragonal

***

Entry 12:
# NaCl (PBE-GGA, optimized geometry)
data_NaCl
_cell_length_a 10.5129
_cell_length_b 10.5129
_cell_length_c 4.6171
_cell_angle_alpha 90.00
_cell_angle_beta 90.00
_cell_angle_gamma 120.00
_symmetry_space_group_name_H-M 'P 63/m'
_symmetry_Int_Tables_number 176
_symmetry_space_group_name_Hall '-P 6c'
loop_
_atom_site_label
_atom_site_fract_x
_atom_site_fract_y
_atom_site_fract_z
Na1 0.0742 0.4109 0.2500
Cl1 0.0799 0.6760 0.2500
# Formation energy (no corrections), eV per atom: -1.72
# Volume, Å³/f.u.: 74
# Crystal system: hexagonal

***

Entry 13:
# Ta5Mo3 (PBE-GGA, optimized geometry)
data_Ta5Mo3
_cell_length_a 3.229
_cell_length_b 4.712
_cell_length_c 18.156
_cell_angle_alpha 90.00
_cell_angle_beta 90.00
_cell_angle_gamma 90.00
_symmetry_space_group_name_H-M 'C m m 2'
_symmetry_Int_Tables_number 35
loop_
_symmetry_equiv_pos_as_xyz
'x,y,z'
'-x,-y,z'
'-x,y,z'
'x,-y,z'
'x+1/2,y+1/2,z'
'-x+1/2,-y+1/2,z'
'-x+1/2,y+1/2,z'
'x+1/2,-y+1/2,z'
loop_
_atom_site_label
_atom_site_fract_x
_atom_site_fract_y
_atom_site_fract_z
Ta1 0.000 0.000 0.000
Ta2 0.000 0.000 0.243
Ta3 0.000 0.000 0.506
Ta4 0.000 0.500 0.375
Ta5 0.000 0.500 0.869
Mo1 0.000 0.000 0.746
Mo2 0.000 0.500 0.122
Mo3 0.000 0.500 0.628
# Offset from the most stable computed form, meV per atom: 112.3
# Volume, Å³/f.u.: 138
# E_form, eV per formula unit: -0.5
# Crystal system: orthorhombic

***

| no. | electronic total energy (eV per atom) |
| --- | --- |
| 1 | -4.963 |
| 2 | -9.445 |
| 3 | -4.867 |
| 4 | -5.954 |
| 5 | -3.405 |
| 6 | -8.304 |
| 7 | -3.291 |
| 8 | -10.979 |
| 9 | -2.022 |
| 10 | -5.878 |
| 11 | -7.350 |
| 12 | -3.305 |
| 13 | -11.530 |